VASP calculation (PBE) on a relaxed HfTi3In crystal.

V: 192 Å³/cell
E_form: -0.011 eV per atom
Theoretical density: 7.6 g cm⁻³

a b c (Å): 5.3309 5.4486 7.5897
angles (deg): 75.85 73.32 66.76
Last column: nearest neighbours and their distance in Å.
Space group P-1 (No. 2)
Inequivalent atoms, fractional coordinates:
Hf: 0.2484 0.2412 0.0112 [2 per cell]  7 Ti 2.85-3.09, 2 Hf 2.92-3.02, 1 In 3.00
Ti: 0.1975 0.7090 0.1734 [2 per cell]  4 Ti 2.83-3.04, 4 Hf 2.95-2.98, 2 In 3.00-3.02
Ti: 0.3272 0.7931 0.7729 [2 per cell]  6 Ti 2.88-3.04, 2 In 3.03-3.05, 4 Hf 3.08-3.22
Ti: 0.4373 0.2988 0.6176 [2 per cell]  4 Ti 2.65-2.95, 1 Hf 2.85, 1 In 2.89
In: 0.0794 0.2315 0.4247 [2 per cell]  2 In 2.85-3.12, 7 Ti 2.89-3.05, 1 Hf 3.00

=====

VASP calculation (PBE) on a relaxed Hf2TiIn2 crystal.

V: 213 Å³/cell
E_form: -0.012 eV per atom
Theoretical density: 9.9 g cm⁻³

a b c (Å): 3.0626 22.7131 3.0587
angles (deg): 90.00 90.00 90.00
Last column: nearest neighbours and their distance in Å.
Space group Cmmm (No. 65)
Inequivalent atoms, fractional coordinates:
Hf: 0.0000 0.1927 0.0000 [4 per cell]  6 Hf 3.02-3.06, 4 In 3.15
Ti: 0.0000 0.0000 0.0000 [2 per cell]  8 In 3.01, 4 Ti 3.06
In: 0.0000 0.4079 0.5000 [4 per cell]  4 Ti 3.01, 4 In 3.06, 4 Hf 3.15